1.
# Nd6Er3Sc GGA-PBE relaxed
data_Nd6Er3Sc
_symmetry_space_group_name_H-M 'P 1'
_symmetry_Int_Tables_number 1
_cell_length_a 6.9532
_cell_length_b 6.9532
_cell_length_c 6.9532
_cell_angle_alpha 90.41
_cell_angle_beta 90.41
_cell_angle_gamma 90.41
loop_
_symmetry_equiv_pos_as_xyz
'x,y,z'
loop_
_atom_site_label
_atom_site_type_symbol
_atom_site_fract_x
_atom_site_fract_y
_atom_site_fract_z
Nd1 Nd 0.9997 0.3291 0.6711
Nd2 Nd 0.1633 0.8350 0.5055
Nd3 Nd 0.3291 0.6711 0.9997
Nd4 Nd 0.5055 0.1633 0.8350
Nd5 Nd 0.6711 0.9997 0.3291
Nd6 Nd 0.8350 0.5055 0.1633
Er1 Er 0.1634 0.1634 0.1634
Er2 Er 0.4180 0.4180 0.4180
Er3 Er 0.6723 0.6723 0.6723
Sc1 Sc 0.9179 0.9179 0.9179
# E_form   204 kJ/mol of formula units
# M_tot   0.00 μB/atom
# Space group   No. 146


2.
# LiZrGa2 GGA-PBE relaxed
data_LiZrGa2
_symmetry_space_group_name_H-M 'P 1'
_symmetry_Int_Tables_number 1
_cell_length_a 7.0762
_cell_length_b 7.0762
_cell_length_c 5.8060
_cell_angle_alpha 90.00
_cell_angle_beta 90.00
_cell_angle_gamma 90.00
loop_
_symmetry_equiv_pos_as_xyz
'x,y,z'
loop_
_atom_site_label
_atom_site_type_symbol
_atom_site_fract_x
_atom_site_fract_y
_atom_site_fract_z
Li1 Li 0.0000 0.0000 0.0000
Li2 Li 0.0000 0.5000 0.2500
Li3 Li 0.5000 0.0000 0.7500
Li4 Li 0.5000 0.5000 0.5000
Zr1 Zr 0.0000 0.0000 0.5000
Zr2 Zr 0.0000 0.5000 0.7500
Zr3 Zr 0.5000 0.0000 0.2500
Zr4 Zr 0.5000 0.5000 0.0000
Ga1 Ga 0.2153 0.7500 0.1250
Ga2 Ga 0.2500 0.2153 0.8750
Ga3 Ga 0.2500 0.2847 0.3750
Ga4 Ga 0.2847 0.7500 0.6250
Ga5 Ga 0.7153 0.2500 0.6250
Ga6 Ga 0.7500 0.7153 0.3750
Ga7 Ga 0.7500 0.7847 0.8750
Ga8 Ga 0.7847 0.2500 0.1250
# E_form   -52 kJ/mol of formula units
# M_tot   0.00 μB/atom
# Space group   No. 122


Distance to the lowest polymorph of the same formula for the records above, in order: 73 346 meV/atom